DFT (PBE) results for an optimized crystal structure of NdY2IrO8.

The space group is P2/m (No. 10) and the conventional cell measures 5.079, 6.901 and 5.090 Å, with angles of 90.00, 90.15 and 90.00 degrees. The distinct sites, in fractional coordinates, are Nd at (0.000, 0.000, 0.000), Y at (0.500, 0.250, 0.500), Ir at (0.000, 0.500, 0.000), O at (0.187, 0.297, 0.184), O at (0.266, 0.500, 0.732) and O at (0.314, 0.000, 0.684).

For the density of states at the Fermi level, the calculation gives 5.12 states/eV per cell. The calculation puts the formation energy from raw total energies at -2302 meV per atom. The crystal system is monoclinic.